## NbPIO2 (PBE)

Data for a geometry-optimized NbPIO2 structure.

abc: 3.8834 3.8834 5.3849
angles: 90.00 90.00 90.00
Space group P4/mmm (No. 123)
Asymmetric unit:
Nb 0.0000 0.0000 0.0000 x1
P 0.5000 0.5000 0.5000 x1
I 0.5000 0.5000 0.0000 x1
O 0.0000 0.5000 0.5000 x2

Values from the calculation:
Uncorrected energy: -5.087 eV/atom
Volume: 16.24 Å³ per atom
Spin magnetization: 2.7 μB per formula unit